{
  "formula": "AcYScGa",
  "functional": "GGA-PBE",
  "state": "optimized geometry",
  "delta_e_f_ev_per_atom": 0.0605,
  "magmom_total_mub_per_cell": 1.16,
  "sg": "F-43m, No. 216",
  "lattice": [[5.3740, 0.0000, 0.0000], [2.6870, 4.6540, 0.0000], [2.6870, 1.5513, 4.3878]],
  "species": ["Y", "Ga", "Sc", "Ac"],
  "fractional_positions": [[0.7500, 0.7500, 0.7500], [0.5000, 0.5000, 0.5000], [0.2500, 0.2500, 0.2500], [0.0000, 0.0000, 0.0000]]
}



{
  "formula": "FeSiPb3",
  "functional": "GGA-PBE",
  "state": "optimized geometry",
  "magmom_total_mub_per_cell": 1.94,
  "e_above_lowest_polymorph_kj_per_mol_fu": 0,
  "formation_energy_uncorrected_ev_per_atom": 0.64,
  "sg": "Pm-3m, No. 221",
  "lattice": [[5.1106, 0.0000, 0.0000], [0.0000, 5.1106, 0.0000], [0.0000, 0.0000, 5.1106]],
  "species": ["Pb", "Fe", "Pb", "Si", "Pb"],
  "fractional_positions": [[0.0000, 0.0000, 0.5000], [0.0000, 0.0000, 0.0000], [0.0000, 0.5000, 0.0000], [0.5000, 0.5000, 0.5000], [0.5000, 0.0000, 0.0000]]
}



{
  "formula": "Tb8Ho2Pu",
  "functional": "GGA-PBE",
  "state": "optimized geometry",
  "delta_e_f_ev_per_atom": 0.1619,
  "magmom_total_mub_per_cell": 7.39,
  "e_above_lowest_polymorph_kj_per_mol_fu": 0,
  "sg": "C2/m, No. 12",
  "lattice": [[6.1659, 0.0000, 3.1219], [-1.6405, 10.2262, 3.2400], [0.6446, 1.0472, 6.3768]],
  "species": ["Tb", "Ho", "Tb", "Tb", "Tb", "Tb", "Tb", "Tb", "Pu", "Tb", "Ho"],
  "fractional_positions": [[0.3189, 0.3759, 0.3623], [0.8269, 0.4165, 0.3462], [0.2599, 0.2678, 0.9774], [0.7627, 0.2678, 0.9774], [0.6811, 0.6241, 0.6377], [0.6811, 0.0599, 0.6378], [0.2373, 0.7322, 0.0226], [0.7401, 0.7322, 0.0226], [0.0000, 0.0000, 0.0000], [0.3189, 0.9401, 0.3622], [0.1731, 0.5835, 0.6538]]
}



{
  "formula": "V2GaCo3",
  "functional": "GGA-PBE",
  "state": "optimized geometry",
  "delta_e_f_ev_per_atom": -0.1754,
  "magmom_total_mub_per_cell": 4.04,
  "e_above_lowest_polymorph_kj_per_mol_fu": 0,
  "sg": "Cmmm, No. 65",
  "lattice": [[2.8946, 0.0000, 0.0000], [0.0000, 3.8870, -1.2868], [0.0000, -0.0226, 6.4456]],
  "species": ["Co", "Co", "V", "Co", "V", "Ga"],
  "fractional_positions": [[0.5000, 0.1709, 0.3418], [0.5000, 0.8291, 0.6582], [0.0000, 0.6661, 0.3322], [0.5000, 0.5000, 0.0000], [0.0000, 0.3339, 0.6678], [0.0000, 0.0000, 0.0000]]
}



{
  "formula": "Ba2Li2Te",
  "functional": "GGA-PBE",
  "state": "optimized geometry",
  "magmom_total_mub_per_cell": 0.00,
  "e_above_lowest_polymorph_kj_per_mol_fu": 0,
  "formation_energy_uncorrected_ev_per_atom": -0.57,
  "sg": "I4/mmm, No. 139",
  "lattice": [[-1.1348, -0.3569, 4.0688], [-4.0250, -0.6201, -1.1770], [-0.8555, -10.8660, 1.0167]],
  "species": ["Li", "Ba", "Te", "Li", "Ba"],
  "fractional_positions": [[0.7500, 0.2500, 0.5000], [0.5969, 0.5969, 0.8062], [0.0000, 0.0000, 0.0000], [0.2500, 0.7500, 0.5000], [0.4031, 0.4031, 0.1938]]
}



{
  "formula": "Li2InBr",
  "functional": "GGA-PBE",
  "state": "optimized geometry",
  "magmom_total_mub_per_cell": 0.00,
  "e_above_lowest_polymorph_kj_per_mol_fu": 21,
  "formation_energy_uncorrected_ev_per_atom": -0.67,
  "sg": "Cmmm, No. 65",
  "lattice": [[3.5126, -0.1651, 0.0000], [-1.4391, 3.2085, 0.0000], [0.0000, 0.0000, 8.4084]],
  "species": ["Li", "Li", "In", "Br"],
  "fractional_positions": [[0.0000, 0.0000, 0.4580], [0.0000, 0.0000, 0.0420], [0.5000, 0.5000, 0.7500], [0.5000, 0.5000, 0.2500]]
}